[1]
Entry from Alexandria via LeMat-Bulk: crystalline BaLi6Hg2 at its relaxed geometry (PBE-GGA).

Properties
symmetry	P4/mmm
E_form	-1.902	eV per formula unit
crystal system	tetragonal

Geometry as extended XYZ:
```
9
Lattice="-1.7256 -0.1522 -4.0250 -0.1406 -4.3739 0.2257 -10.4147 0.5640 4.4438" Properties=species:S:1:pos:R:3 pbc="T T T"
Ba 0.0000 0.0000 0.0000
Li -6.1405 -1.9810 0.3222
Li -7.2540 -1.7979 3.1780
Li -3.3013 -2.0120 1.4914
Li -5.2074 0.2820 2.2219
Li -8.0466 0.3129 1.0527
Li -4.0938 0.0989 -0.6339
Hg -2.5688 -2.1745 -1.2018
Hg -9.7121 -1.7876 1.8462
```

[2]
Entry from Alexandria via LeMat-Bulk: crystalline Ba8LiHg2 at its relaxed geometry (PBE-GGA).

Properties
symmetry	Cm
E_form	-1.485	eV per formula unit
crystal system	monoclinic

Geometry as extended XYZ:
```
11
Lattice="6.7888 0.1385 -1.0943 -2.1862 8.6184 -3.4672 0.0860 0.0364 9.5430" Properties=species:S:1:pos:R:3 pbc="T T T"
Ba 4.1207 5.5683 2.9534
Ba 0.7582 8.1697 2.7441
Ba 1.3570 5.9080 6.1727
Ba 5.1401 6.7217 -1.4168
Ba 3.3157 2.9374 -1.1516
Ba 6.3205 2.2633 5.3421
Ba 3.9140 0.6779 2.2738
Ba 0.5508 3.2796 2.0672
Hg 2.7558 2.8370 4.9129
Hg 1.9163 6.0080 0.1057
Li 0.0091 0.0276 0.0166
```

[3]
Entry from Alexandria via LeMat-Bulk: crystalline Ba2LiHg8 at its relaxed geometry (PBE-GGA).

Properties
symmetry	C2/m
E_form	-4.012	eV per formula unit
crystal system	monoclinic

Geometry as extended XYZ:
```
11
Lattice="-4.4226 2.3082 2.1913 -0.1463 -5.2775 5.2639 6.8584 5.8928 0.8605" Properties=species:S:1:pos:R:3 pbc="T T T"
Hg -1.3087 -1.5972 5.8154
Hg 2.3935 6.6878 4.5604
Hg 1.3167 1.2751 1.3144
Hg 0.9728 1.6484 7.0013
Hg 3.5528 2.3813 4.6623
Hg 3.5982 4.5207 2.5003
Hg -1.2633 0.5422 3.6534
Hg -0.1041 -3.7644 3.7553
Li -2.2113 1.1541 1.0956
Ba 1.8721 -0.7579 4.5767
Ba 0.4174 3.6814 3.7390
```

[4]
Entry from Alexandria via LeMat-Bulk: crystalline Ba3Li4Hg2 at its relaxed geometry (PBE-GGA).

Properties
symmetry	C2/m
E_form	-1.842	eV per formula unit
crystal system	monoclinic

Geometry as extended XYZ:
```
9
Lattice="-0.9139 -4.5515 -1.0102 5.4705 0.5230 3.8665 -9.0997 0.4784 6.0762" Properties=species:S:1:pos:R:3 pbc="T T T"
Ba 0.0000 0.0000 0.0000
Ba 1.0533 -1.2001 4.4542
Ba -5.5963 -2.3499 4.4782
Li 1.2095 -3.0318 1.3939
Li -2.1663 -3.1978 5.1956
Li -5.7525 -0.5182 7.5386
Li -2.3767 -0.3522 3.7369
Hg -1.4414 -2.7087 2.3360
Hg -3.1017 -0.8414 6.5965
```

Q: Look up the E_form of the first one.
A: -1.902 eV per formula unit

Q: What is the formula in the second record?
A: Ba8LiHg2